Nb4AsC2S | PBE-GGA | optimized geometry

a b c (Å): 3.326 3.326 11.897
angles (deg): 90.00 90.00 120.00
Fractional positions:
S1 0.333 0.667 0.000
Nb1 0.000 0.000 0.151
Nb2 0.333 0.667 0.659
Nb3 0.333 0.667 0.341
Nb4 0.000 0.000 0.849
As1 0.000 0.000 0.500
C1 0.667 0.333 0.754
C2 0.667 0.333 0.246

Output
Energy (eV/atom): -9.141
Density (g/cm3): 7.322
Total moment (μB per cell): 0.00
SG: P-6m2
V (Å³ per atom): 14.249